Computed, not measured: crystalline NiAuS4 at its relaxed geometry at the PBE-GGA level of DFT.

Cell: 6.3970 7.1546 7.6124 Å, 98.12 113.38 110.92°
Atoms (fractional coordinates):
Ni (0.0759, 0.0222, 0.2383)
Ni (0.9241, 0.9778, 0.7617)
Au (0.4313, 0.8513, 0.7272)
Au (0.5687, 0.1487, 0.2728)
S (0.0753, 0.2438, 0.0562)
S (0.0974, 0.7964, 0.4160)
S (0.1837, 0.2760, 0.5054)
S (0.3509, 0.2218, 0.9859)
S (0.6491, 0.7782, 0.0141)
S (0.8163, 0.7240, 0.4946)
S (0.9026, 0.2036, 0.5840)
S (0.9247, 0.7562, 0.9438)

calculated density: 4.52 g cm⁻³
total moment: 0.0 μB per formula unit
formation energy without anion corrections: 0.02 eV/atom
DFT total energy: -4.24 eV/atom
space-group type: No. 2